First-principles (GGA-PBE) data for Li2YInS after structural relaxation, as listed in Alexandria.

Values from the calculation:
Magnetic moment ... 0.00 μB per formula unit
Density ... 3.60 g cm⁻³
ΔE_f (raw) ... -0.77 eV/atom
Final energy ... -4.198 eV/atom

Cell: 4.648 4.648 5.330 Å, 90.00 90.00 90.00°
Fractional coordinates of all 5 atoms:
1 Li 0.000 0.500 0.000
2 Li 0.500 0.000 0.000
3 Y 0.000 0.000 0.500
4 In 0.500 0.500 0.500
5 S 0.000 0.000 0.000